First-principles (PBE) data for an optimized crystal structure of Rb2SmAgCl6, as listed in the Alexandria database.

Calculated values
relative energy among the computed polymorphs: 18 meV per atom
total moment: 0.00 μB/cell
formation energy (no corrections): -1.797 eV/atom
N(E_F): 0.00 states/eV/f.u.

Unit cell a=7.687 b=7.687 c=7.687 alpha=60.00 beta=60.00 gamma=60.00
Fractional positions:
1 Cl 0.752 0.248 0.248
2 Ag 0.500 0.500 0.500
3 Cl 0.248 0.752 0.248
4 Cl 0.752 0.752 0.248
5 Rb 0.250 0.250 0.250
6 Sm 0.000 0.000 0.000
7 Rb 0.750 0.750 0.750
8 Cl 0.248 0.248 0.752
9 Cl 0.248 0.752 0.752
10 Cl 0.752 0.248 0.752

***

First-principles (PBE) data for an optimized crystal structure of Rb2SmAgCl6, as listed in the Alexandria database.

Calculated values
relative energy among the computed polymorphs: 0 meV per atom
total moment: 0.00 μB/cell
formation energy (no corrections): -1.815 eV/atom
N(E_F): 0.00 states/eV/f.u.

Unit cell a=7.568 b=7.798 c=10.579 alpha=90.00 beta=89.61 gamma=90.00
Fractional positions:
1 Cl 0.213 0.201 0.460
2 Rb 0.985 0.057 0.749
3 Cl 0.077 0.483 0.749
4 Cl 0.301 0.716 0.461
5 Cl 0.713 0.299 0.960
6 Rb 0.515 0.557 0.751
7 Cl 0.423 0.983 0.751
8 Sm 0.500 0.000 0.500
9 Cl 0.801 0.784 0.961
10 Ag 0.500 0.000 0.000
11 Ag 0.000 0.500 0.500
12 Cl 0.787 0.799 0.540
13 Rb 0.485 0.443 0.249
14 Cl 0.699 0.284 0.539
15 Sm 0.000 0.500 0.000
16 Cl 0.923 0.517 0.251
17 Cl 0.287 0.701 0.040
18 Rb 0.015 0.943 0.251
19 Cl 0.577 0.017 0.249
20 Cl 0.199 0.216 0.039

***

First-principles (PBE) data for an optimized crystal structure of RbSmAg2Cl8, as listed in the Alexandria database.

Calculated values
total moment: 0.00 μB/cell
formation energy (no corrections): -1.170 eV/atom
N(E_F): 13.84 states/eV/f.u.

Unit cell a=6.823 b=6.823 c=8.875 alpha=112.61 beta=112.61 gamma=90.00
Fractional positions:
1 Sm 0.000 0.000 0.000
2 Ag 0.250 0.750 0.500
3 Cl 0.056 0.971 0.687
4 Cl 0.150 0.613 0.883
5 Cl 0.732 0.270 0.883
6 Cl 0.284 0.944 0.313
7 Cl 0.730 0.850 0.117
8 Ag 0.500 0.500 0.000
9 Cl 0.631 0.716 0.687
10 Cl 0.387 0.268 0.117
11 Cl 0.029 0.369 0.313
12 Rb 0.750 0.250 0.500

***

First-principles (PBE) data for an optimized crystal structure of RbSmAgCl5, as listed in the Alexandria database.

Calculated values
total moment: 0.00 μB/cell
formation energy (no corrections): -1.759 eV/atom
N(E_F): 0.00 states/eV/f.u.

Unit cell a=7.759 b=7.759 c=10.327 alpha=102.33 beta=102.33 gamma=109.04
Fractional positions:
1 Rb 0.343 0.657 0.250
2 Ag 0.687 0.313 0.250
3 Cl 0.748 0.635 0.434
4 Cl 0.698 0.092 0.405
5 Ag 0.313 0.687 0.750
6 Rb 0.657 0.343 0.750
7 Cl 0.073 0.927 0.250
8 Cl 0.092 0.698 0.905
9 Sm 0.000 0.000 0.500
10 Cl 0.365 0.252 0.066
11 Sm 0.000 0.000 0.000
12 Cl 0.252 0.365 0.566
13 Cl 0.927 0.073 0.750
14 Cl 0.635 0.748 0.934
15 Cl 0.302 0.908 0.595
16 Cl 0.908 0.302 0.095

***

First-principles (PBE) data for an optimized crystal structure of Rb4AgSn3Cl12, as listed in the Alexandria database.

Calculated values
total moment: 0.00 μB/cell
formation energy (no corrections): -1.323 eV/atom
N(E_F): 3.80 states/eV/f.u.

Unit cell a=9.456 b=9.456 c=9.456 alpha=109.47 beta=109.47 gamma=109.47
Fractional positions:
1 Cl 0.000 0.749 0.749
2 Rb 0.500 0.000 0.000
3 Cl 0.749 0.000 0.749
4 Cl 0.250 0.750 0.500
5 Cl 0.250 0.500 0.750
6 Sn 0.000 0.500 0.500
7 Cl 0.749 0.749 0.000
8 Rb 0.000 0.000 0.500
9 Rb 0.000 0.500 0.000
10 Rb 0.500 0.500 0.500
11 Sn 0.500 0.500 0.000
12 Cl 0.500 0.750 0.250
13 Ag 0.000 0.000 0.000
14 Cl 0.750 0.500 0.250
15 Cl 0.750 0.250 0.500
16 Cl 0.251 0.251 0.000
17 Sn 0.500 0.000 0.500
18 Cl 0.500 0.250 0.750
19 Cl 0.000 0.251 0.251
20 Cl 0.251 0.000 0.251

***

First-principles (PBE) data for an optimized crystal structure of Rb2AgSnCl6, as listed in the Alexandria database.

Calculated values
relative energy among the computed polymorphs: 0 meV per atom
total moment: 0.00 μB/cell
formation energy (no corrections): -1.286 eV/atom
N(E_F): 1.83 states/eV/f.u.

Unit cell a=7.511 b=7.511 c=7.533 alpha=60.10 beta=60.10 gamma=90.00
Fractional positions:
1 Cl 0.249 0.249 0.000
2 Cl 0.751 0.751 0.000
3 Sn 0.000 0.000 0.000
4 Ag 0.500 0.500 0.000
5 Rb 0.750 0.250 0.500
6 Cl 0.752 0.752 0.495
7 Cl 0.751 0.249 0.000
8 Cl 0.249 0.751 0.000
9 Cl 0.248 0.248 0.505
10 Rb 0.250 0.750 0.500

***

> Which of these has the lowest formation energy (no corrections)?

number 2